VASP calculation (PBE-GGA) on LaCd2Tc after structural relaxation.

Results
Distance to the lowest polymorph of the same formula: 0.213 eV/atom
Energy relative to the elements: 0.297 eV/atom
ρ: 8.505 g/cm3

Cell: 5.301 5.301 5.301 Å, 127.86 127.86 76.85°
Positions (direct):
Cd1 0.000 0.000 0.000
Cd2 0.250 0.750 0.500
La1 0.500 0.500 0.000
Tc1 0.750 0.250 0.500